Entry 1:
## Cr3SiIr (PBE-GGA)

Data for an optimized crystal structure of Cr3SiIr.

Energy above the lowest structure with this stoichiometry (meV per atom): 254.2
SG: Pm-3m (221)
VASP energy (eV/f.u.): -36.7
Magnetization (Bohr magnetons per cell): 9.7

a b c (Å): 4.7067 4.7067 4.7067
angles (deg): 90.00 90.00 90.00
Fractional coordinates of all 5 atoms:
Cr 0.5000 0.0000 0.0000
Si 0.5000 0.5000 0.5000
Cr 0.0000 0.0000 0.5000
Ir 0.0000 0.0000 0.0000
Cr 0.0000 0.5000 0.0000

=====

Entry 2:
## TbAg6Hg2 (PBE-GGA)

Data for an optimized crystal structure of TbAg6Hg2.

Energy of formation (eV per atom): 0.012
SG: C2/m (12)
VASP energy (eV/f.u.): -22.2
Magnetization (Bohr magnetons per cell): 0.0

a b c (Å): 3.2915 8.3995 8.3995
angles (deg): 57.74 78.20 78.20
Fractional coordinates of all 9 atoms:
Hg 0.1500 0.3504 0.3504
Hg 0.8500 0.6496 0.6496
Ag 0.6730 0.6531 0.9999
Ag 0.5000 0.3252 0.6748
Ag 0.6730 0.9999 0.6531
Ag 0.3270 0.0001 0.3469
Ag 0.5000 0.6748 0.3252
Ag 0.3270 0.3469 0.0001
Tb 0.0000 0.0000 0.0000

=====

Entry 3:
## Zn2InSe (PBE-GGA)

Data for an optimized crystal structure of Zn2InSe.

Energy above the lowest structure with this stoichiometry (meV per atom): 166.2
SG: C2/m (12)
VASP energy (eV/f.u.): -8.6
Magnetization (Bohr magnetons per cell): 0.0

a b c (Å): 4.8910 4.8910 3.8615
angles (deg): 78.79 78.79 104.25
Fractional coordinates of all 4 atoms:
Se 0.0000 0.5000 0.5000
Zn 0.0000 0.0000 0.0000
In 0.5000 0.0000 0.5000
Zn 0.5000 0.5000 0.0000

=====

> What is the VASP energy in the second record?

-22.2 eV/f.u.

=====

> What is the magnetization in the third record?

0.0 Bohr magnetons per cell

=====

> What is the formula in the third record?

Zn2InSe

=====

> What is the VASP energy in the first record?

-36.7 eV/f.u.